# Ti6VRe5

An optimized crystal structure of Ti6VRe5 (PBE, the Alexandria database).

```
Ti6VRe5
1.0
2.2060 -6.6293 0.0000
2.2060 6.6293 0.0000
0.0000 0.0000 6.2398
Ti V Re
6 1 5
direct
0.0000 0.0000 0.2454 Ti
0.0000 0.0000 0.7546 Ti
0.3316 0.6684 0.2487 Ti
0.3316 0.6684 0.7513 Ti
0.6684 0.3316 0.2487 Ti
0.6684 0.3316 0.7513 Ti
0.5000 0.5000 0.5000 V
0.1637 0.8363 0.5000 Re
0.1668 0.8332 0.0000 Re
0.5000 0.5000 0.0000 Re
0.8332 0.1668 0.0000 Re
0.8363 0.1637 0.5000 Re
```

Summary:
Magnetization (μB per formula unit): 2.08
Space group: Cmmm (65)
DFT total energy (eV per cell): -122.7
DFT formation energy (eV per atom): -0.331

---

# La3Pr4HoS8

An optimized crystal structure of La3Pr4HoS8 (PBE, the Alexandria database).

```
La3Pr4HoS8
1.0
4.1031 2.3689 6.6839
-4.1031 2.3689 6.6839
0.0000 -4.7378 6.6839
La Pr Ho S
3 4 1 8
direct
0.0000 0.5000 0.5000 La
0.5000 0.0000 0.5000 La
0.5000 0.5000 0.0000 La
0.0000 0.0000 0.5000 Pr
0.0000 0.5000 0.0000 Pr
0.5000 0.0000 0.0000 Pr
0.5000 0.5000 0.5000 Pr
0.0000 0.0000 0.0000 Ho
0.2411 0.7579 0.7579 S
0.2421 0.2421 0.7589 S
0.2421 0.7589 0.2421 S
0.2495 0.2495 0.2495 S
0.7505 0.7505 0.7505 S
0.7579 0.2411 0.7579 S
0.7579 0.7579 0.2411 S
0.7589 0.2421 0.2421 S
```

Summary:
ΔE_f (raw) (meV/atom): -2066
Magnetization (μB per formula unit): 0.00
Space group: R-3m (166)
DFT total energy (eV per cell): -104.6

---

# TaAgAu2

An optimized crystal structure of TaAgAu2 (PBE, the Alexandria database).

```
TaAgAu2
1.0
1.4714 0.8495 9.6097
-1.4714 0.8495 9.6097
0.0000 -1.6990 9.6097
Ta Ag Au
1 1 2
direct
0.0000 0.0000 0.0000 Ta
0.7510 0.7510 0.7510 Ag
0.2527 0.2527 0.2527 Au
0.5012 0.5012 0.5012 Au
```

Summary:
Magnetization (μB per formula unit): 0.00
Space group: R3m (160)
DFT total energy (eV per cell): -20.9
DFT formation energy (eV per atom): 0.091

---

# Cd3BiB

An optimized crystal structure of Cd3BiB (PBE, the Alexandria database).

```
Cd3BiB
1.0
5.8100 0.0000 0.0000
0.0000 5.8100 0.0000
0.0000 0.0000 5.8100
Cd Bi B
3 1 1
direct
0.0000 0.0000 0.5000 Cd
0.0000 0.5000 0.0000 Cd
0.5000 0.0000 0.0000 Cd
0.0000 0.0000 0.0000 Bi
0.5000 0.5000 0.5000 B
```

Summary:
Magnetization (μB per formula unit): 0.87
Space group: Pm-3m (221)
DFT total energy (eV per cell): -6.3
DFT formation energy (eV per atom): 1.405